1.
Density functional theory data (PBE-GGA) for a geometry-optimized Y2ErGe3PdPt2 structure.

The space group is Amm2 (No. 38) and the conventional cell measures 3.9062, 12.5076 and 7.2463 Å, with angles of 90.00, 90.00 and 90.00 degrees. The asymmetric unit holds Y at (0.0000, 0.2028, 0.0000), Er at (0.0000, 0.0000, 0.3916), Ge at (0.5000, 0.0000, 0.0532), Ge at (0.5000, 0.1277, 0.6686), Pd at (0.0000, 0.0000, 0.7943) and Pt at (0.5000, 0.1647, 0.2982).

2.
Density functional theory data (PBE-GGA) for a geometry-optimized Er2SiGePd structure.

The space group is C2/m (No. 12) and the conventional cell measures 10.5325, 4.2318 and 10.1572 Å, with angles of 90.00, 118.10 and 90.00 degrees. The asymmetric unit holds Er at (0.0029, 0.0000, 0.3275), Er at (0.1840, 0.0000, 0.1105), Si at (0.1319, 0.5000, 0.5681), Ge at (0.0277, 0.5000, 0.8835) and Pd at (0.2285, 0.5000, 0.3675).

3.
Density functional theory data (PBE-GGA) for a geometry-optimized Sm2ErGe4Pd4 structure.

The space group is Immm (No. 71) and the conventional cell measures 4.2471, 7.0832 and 14.1460 Å, with angles of 90.00, 90.00 and 90.00 degrees. The asymmetric unit holds Sm at (0.0000, 0.0000, 0.1263), Er at (0.0000, 0.5000, 0.0000), Ge at (0.0000, 0.3069, 0.5000), Ge at (0.0000, 0.5000, 0.2156) and Pd at (0.0000, 0.2002, 0.3246).

4.
Density functional theory data (PBE-GGA) for a geometry-optimized SmEr2Ge4Pd4 structure.

The space group is Immm (No. 71) and the conventional cell measures 4.1600, 7.1495 and 13.9836 Å, with angles of 90.00, 90.00 and 90.00 degrees. The asymmetric unit holds Sm at (0.0000, 0.0000, 0.0000), Er at (0.0000, 0.5000, 0.1259), Ge at (0.0000, 0.0000, 0.2191), Ge at (0.0000, 0.1850, 0.5000) and Pd at (0.0000, 0.2981, 0.3241).

5.
Density functional theory data (PBE-GGA) for a geometry-optimized TbEr2Ge4Pd4 structure.

The space group is Immm (No. 71) and the conventional cell measures 4.1593, 7.1183 and 13.9428 Å, with angles of 90.00, 90.00 and 90.00 degrees. The asymmetric unit holds Tb at (0.0000, 0.0000, 0.0000), Er at (0.0000, 0.5000, 0.1259), Ge at (0.0000, 0.0000, 0.2181), Ge at (0.0000, 0.1870, 0.5000) and Pd at (0.0000, 0.2983, 0.3245).

6.
Density functional theory data (PBE-GGA) for a geometry-optimized Er4TlGe4Pd2 structure.

The space group is C2/m (No. 12) and the conventional cell measures 15.8882, 4.2084 and 7.2013 Å, with angles of 90.00, 107.81 and 90.00 degrees. The asymmetric unit holds Er at (0.0859, 0.0000, 0.3784), Er at (0.1563, 0.0000, 0.9220), Tl at (0.0000, 0.5000, 0.0000), Ge at (0.0633, 0.5000, 0.6561), Ge at (0.1928, 0.5000, 0.2346) and Pd at (0.2191, 0.5000, 0.6231).

7.
Density functional theory data (PBE-GGA) for a geometry-optimized ErTmGe2Pd structure.

The space group is C2/m (No. 12) and the conventional cell measures 10.4797, 4.3121 and 10.2084 Å, with angles of 90.00, 117.33 and 90.00 degrees. The asymmetric unit holds Er at (0.0093, 0.0000, 0.3284), Tm at (0.1844, 0.0000, 0.1072), Ge at (0.0292, 0.5000, 0.8861), Ge at (0.1388, 0.5000, 0.5683) and Pd at (0.2225, 0.5000, 0.3456).

8.
Density functional theory data (PBE-GGA) for a geometry-optimized YEr2Ge4Pd4 structure.

The space group is Immm (No. 71) and the conventional cell measures 4.1730, 7.0920 and 13.9462 Å, with angles of 90.00, 90.00 and 90.00 degrees. The asymmetric unit holds Y at (0.0000, 0.0000, 0.0000), Er at (0.0000, 0.5000, 0.1259), Ge at (0.0000, 0.0000, 0.2183), Ge at (0.0000, 0.1876, 0.5000) and Pd at (0.0000, 0.2994, 0.3250).

9.
Density functional theory data (PBE-GGA) for a geometry-optimized PmErGe structure.

The space group is F-43m (No. 216) and the conventional cell measures 6.9700, 6.9700 and 6.9700 Å, with angles of 90.00, 90.00 and 90.00 degrees. The asymmetric unit holds Pm at (0.0000, 0.0000, 0.0000), Er at (0.0000, 0.0000, 0.5000) and Ge at (0.2500, 0.2500, 0.7500).

10.
Density functional theory data (PBE-GGA) for a geometry-optimized ErGePt structure.

The space group is Imm2 (No. 44) and the conventional cell measures 4.3678, 20.9283 and 7.5801 Å, with angles of 90.00, 90.00 and 90.00 degrees. The asymmetric unit holds Er at (0.0000, 0.0000, 0.0000), Er at (0.0000, 0.1667, 0.9126), Er at (0.0000, 0.3323, 0.9955), Er at (0.0000, 0.5000, 0.9155), Ge at (0.0000, 0.0951, 0.2961), Ge at (0.0000, 0.2686, 0.6145), Ge at (0.0000, 0.4350, 0.2976), Pt at (0.0000, 0.0730, 0.6268), Pt at (0.0000, 0.2366, 0.2860) and Pt at (0.0000, 0.3973, 0.6230).

11.
Density functional theory data (PBE-GGA) for a geometry-optimized ErGePt2 structure.

The space group is P2_1/m (No. 11) and the conventional cell measures 5.5832, 3.8509 and 7.2074 Å, with angles of 90.00, 90.02 and 90.00 degrees. The asymmetric unit holds Er at (0.1584, 0.2500, 0.3068), Ge at (0.3927, 0.2500, 0.8289), Pt at (0.1892, 0.7500, 0.0050) and Pt at (0.3402, 0.7500, 0.5926).

12.
Density functional theory data (PBE-GGA) for a geometry-optimized ErGePt2 structure.

The space group is Pmn2_1 (No. 31) and the conventional cell measures 4.1550, 6.4442 and 5.6327 Å, with angles of 90.00, 90.00 and 90.00 degrees. The asymmetric unit holds Er at (0.0000, 0.0769, 0.0000), Ge at (0.0000, 0.6105, 0.7543), Pt at (0.0000, 0.2504, 0.4799) and Pt at (0.0000, 0.6684, 0.2950).

13.
Density functional theory data (PBE-GGA) for a geometry-optimized ErGe3Pt4 structure.

The space group is Pm (No. 6) and the conventional cell measures 5.8506, 3.8943 and 6.3569 Å, with angles of 90.00, 91.90 and 90.00 degrees. The asymmetric unit holds Er at (0.0000, 0.0000, 0.0000), Ge at (0.2382, 0.0000, 0.5192), Ge at (0.4337, 0.5000, 0.8644), Ge at (0.7586, 0.5000, 0.3378), Pt at (0.0113, 0.5000, 0.6694), Pt at (0.2247, 0.5000, 0.2581), Pt at (0.5494, 0.0000, 0.1531) and Pt at (0.6438, 0.0000, 0.6637).

14.
Density functional theory data (PBE-GGA) for a geometry-optimized ErGe2Pt structure.

The space group is Immm (No. 71) and the conventional cell measures 4.2920, 8.7440 and 16.5137 Å, with angles of 90.00, 90.00 and 90.00 degrees. The asymmetric unit holds Er at (0.0000, 0.0000, 0.1994), Er at (0.0000, 0.2385, 0.0000), Ge at (0.0000, 0.0000, 0.4271), Ge at (0.0000, 0.3502, 0.2022), Ge at (0.0000, 0.5000, 0.4266) and Pt at (0.0000, 0.2495, 0.3530).

15.
Density functional theory data (PBE-GGA) for a geometry-optimized ErGePt2 structure.

The space group is Pmc2_1 (No. 26) and the conventional cell measures 4.0678, 5.6466 and 6.9745 Å, with angles of 90.00, 90.00 and 90.00 degrees. The asymmetric unit holds Er at (0.0000, 0.1676, 0.0000), Ge at (0.5000, 0.3448, 0.3866), Pt at (0.0000, 0.3588, 0.6023) and Pt at (0.5000, 0.0525, 0.7287).

16.
Density functional theory data (PBE-GGA) for a geometry-optimized Er2SiGePt structure.

The space group is C2/m (No. 12) and the conventional cell measures 10.3563, 4.2664 and 10.2061 Å, with angles of 90.00, 117.67 and 90.00 degrees. The asymmetric unit holds Er at (0.0063, 0.0000, 0.3285), Er at (0.1856, 0.0000, 0.1137), Si at (0.1373, 0.5000, 0.5600), Ge at (0.0291, 0.5000, 0.8852) and Pt at (0.2300, 0.5000, 0.3508).

17.
Density functional theory data (PBE-GGA) for a geometry-optimized TbErGe2Pt structure.

The space group is C2/m (No. 12) and the conventional cell measures 10.4452, 4.3493 and 10.3660 Å, with angles of 90.00, 117.23 and 90.00 degrees. The asymmetric unit holds Tb at (0.1885, 0.0000, 0.1134), Er at (0.0106, 0.0000, 0.3293), Ge at (0.0251, 0.5000, 0.8860), Ge at (0.1430, 0.5000, 0.5530) and Pt at (0.2281, 0.5000, 0.3364).

18.
Density functional theory data (PBE-GGA) for a geometry-optimized ErTmGe2Pt structure.

The space group is C2/m (No. 12) and the conventional cell measures 10.3827, 4.3157 and 10.2936 Å, with angles of 90.00, 117.22 and 90.00 degrees. The asymmetric unit holds Er at (0.0090, 0.0000, 0.3275), Tm at (0.1877, 0.0000, 0.1136), Ge at (0.0278, 0.5000, 0.8879), Ge at (0.1428, 0.5000, 0.5524) and Pt at (0.2270, 0.5000, 0.3332).

19.
Density functional theory data (PBE-GGA) for a geometry-optimized ErZn2GePt4 structure.

The space group is P4/mmm (No. 123) and the conventional cell measures 4.2975, 4.2975 and 7.1207 Å, with angles of 90.00, 90.00 and 90.00 degrees. The asymmetric unit holds Er at (0.0000, 0.0000, 0.0000), Zn at (0.0000, 0.0000, 0.5000), Zn at (0.5000, 0.5000, 0.0000), Ge at (0.5000, 0.5000, 0.5000) and Pt at (0.0000, 0.5000, 0.2762).

20.
Density functional theory data (PBE-GGA) for a geometry-optimized RbErGe structure.

The space group is F-43m (No. 216) and the conventional cell measures 7.4870, 7.4870 and 7.4870 Å, with angles of 90.00, 90.00 and 90.00 degrees. The asymmetric unit holds Rb at (0.0000, 0.0000, 0.0000), Er at (0.0000, 0.0000, 0.5000) and Ge at (0.2500, 0.2500, 0.7500).

no.,total energy (eV/atom),total magnetization (μB per cell)
1,-6.42,0.01
2,-5.82,1.00
3,-5.71,0.02
4,-5.75,0.01
5,-5.73,0.02
6,-5.31,0.03
7,-5.61,0.46
8,-5.90,0.01
9,-5.17,0.02
10,-6.22,0.00
11,-6.17,0.01
12,-6.25,0.00
13,-5.95,0.00
14,-5.81,0.00
15,-6.14,0.02
16,-6.09,0.11
17,-5.91,0.21
18,-5.87,0.02
19,-5.13,0.00
20,-3.19,0.00